[1]
## CeCd3Au8 (PBE)

Data for an optimized crystal structure of CeCd3Au8.

ΔE_f	-239	meV per atom

Cell: 5.6119 5.6119 27.4431 Å, 90.00 90.00 120.00°
Last column: nearest neighbours and their distance in Å.
Space group R3m (No. 160, hexagonal axes)
Inequivalent atoms, fractional coordinates:
Ce 0.0000 0.0000 0.0000 [3 per cell]  12 Au 3.29-3.30, 4 Cd 3.54-3.55
Cd 0.0000 0.0000 0.1293 [3 per cell]  12 Au 3.17-3.35, 3 Cd 3.37, 1 Ce 3.55
Cd 0.0000 0.0000 0.4962 [3 per cell]  12 Au 3.20-3.34, 4 Cd 3.25-3.37
Cd 0.0000 0.0000 0.6145 [3 per cell]  9 Au 3.16-3.35, 1 Cd 3.25
Au 0.0000 0.0000 0.3120 [3 per cell]  6 Au 2.80-2.82
Au 0.0000 0.0000 0.8121 [3 per cell]  6 Au 2.79-2.80
Au 0.0001 0.5001 0.5619 [9 per cell]  6 Au 2.80-2.81
Au 0.1671 0.3341 0.3958 [9 per cell]  6 Au 2.79-2.82

---

[2]
## LiPuSbO (PBE)

Data for an optimized crystal structure of LiPuSbO.

raw formation energy	-1.347	eV/atom

Cell: 4.5378 4.5378 8.0036 Å, 90.00 90.00 90.00°
Last column: nearest neighbours and their distance in Å.
Space group P4/nmm (No. 129, origin choice 2)
Inequivalent atoms, fractional coordinates:
Li 0.2500 0.2500 0.1695 [2 per cell]  1 O 1.98
Pu 0.2500 0.7500 0.5000 [2 per cell]  4 O 2.36
Sb 0.2500 0.2500 0.8127 [2 per cell]  1 Li 2.86, 1 O 3.17
O 0.2500 0.2500 0.4171 [2 per cell]  1 Li 1.98

---

[3]
## MgInCu2S4 (PBE)

Data for an optimized crystal structure of MgInCu2S4.

raw formation energy	-0.619	eV/atom

Cell: 5.5198 5.5198 11.0947 Å, 90.00 90.00 90.00°
Last column: nearest neighbours and their distance in Å.
Space group I-42m (No. 121)
Inequivalent atoms, fractional coordinates:
Mg 0.0000 0.0000 0.0000 [2 per cell]  4 S 2.46
In 0.0000 0.0000 0.5000 [2 per cell]  4 S 2.50
Cu 0.0000 0.5000 0.2500 [4 per cell]  4 S 2.32
S 0.2467 0.2467 0.1374 [8 per cell]  2 Cu 2.32, 1 Mg 2.46, 1 In 2.50

---

[4]
## Sr2LiTlF (PBE)

Data for an optimized crystal structure of Sr2LiTlF.

raw formation energy	-1.304	eV/atom

Cell: 5.5321 5.5321 4.2359 Å, 90.00 90.00 90.00°
Last column: nearest neighbours and their distance in Å.
Space group P4/mmm (No. 123)
Inequivalent atoms, fractional coordinates:
Sr 0.0000 0.5000 0.0000 [2 per cell]  2 F 2.77
Li 0.0000 0.0000 0.5000 [1 per cell]  2 F 2.12
Tl 0.5000 0.5000 0.5000 [1 per cell]  8 Sr 3.48
F 0.0000 0.0000 0.0000 [1 per cell]  2 Li 2.12

---

[5]
## ZrReTe2 (PBE)

Data for an optimized crystal structure of ZrReTe2.

raw formation energy	-0.183	eV/atom
E above lowest polymorph	33.9	meV/atom

Cell: 3.7830 4.2459 14.0587 Å, 90.00 90.00 90.00°
Last column: nearest neighbours and their distance in Å.
Space group Immm (No. 71)
Inequivalent atoms, fractional coordinates:
Zr 0.0000 0.0000 0.0000 [2 per cell]  4 Re 2.84, 4 Te 2.94
Re 0.0000 0.0000 0.5000 [2 per cell]  4 Te 2.78, 4 Zr 2.84
Te 0.0000 0.5000 0.1451 [4 per cell]  2 Re 2.78, 2 Zr 2.94

---

[6]
## Ho5Al4Ga (PBE)

Data for an optimized crystal structure of Ho5Al4Ga.

ΔE_f	-430	meV per atom

Cell: 3.5607 3.5607 18.0739 Å, 90.00 90.00 90.00°
Last column: nearest neighbours and their distance in Å.
Space group P4/mmm (No. 123)
Inequivalent atoms, fractional coordinates:
Ho 0.0000 0.0000 0.0000 [1 per cell]  8 Al 3.10
Ho 0.0000 0.0000 0.2000 [2 per cell]  8 Al 3.10
Ho 0.0000 0.0000 0.4015 [2 per cell]  4 Ga 3.08, 4 Al 3.11
Al 0.5000 0.5000 0.1001 [2 per cell]  8 Ho 3.10
Al 0.5000 0.5000 0.3003 [2 per cell]  8 Ho 3.10-3.11
Ga 0.5000 0.5000 0.5000 [1 per cell]  8 Ho 3.08

---

[7]
## ZrPa2Zn6 (PBE)

Data for an optimized crystal structure of ZrPa2Zn6.

ΔE_f	-144	meV per atom

Cell: 7.8574 7.8574 3.1342 Å, 90.00 90.00 120.00°
Last column: nearest neighbours and their distance in Å.
Space group P6/mmm (No. 191)
Inequivalent atoms, fractional coordinates:
Zr 0.0000 0.0000 0.0000 [1 per cell]  12 Zn 3.00, 2 Zr 3.13
Pa 0.3333 0.6667 0.0000 [2 per cell]  12 Zn 3.08, 2 Pa 3.13
Zn 0.0000 0.3262 0.5000 [6 per cell]  3 Zn 2.56-2.73

---

[8]
## AcCePt2 (PBE)

Data for an optimized crystal structure of AcCePt2.

ΔE_f	-1109	meV per atom
E above lowest polymorph	0.0	meV/atom

Cell: 4.2693 4.2693 20.8258 Å, 90.00 90.00 120.00°
Last column: nearest neighbours and their distance in Å.
Space group R-3m (No. 166, hexagonal axes)
Inequivalent atoms, fractional coordinates:
Ac 0.0000 0.0000 0.0000 [3 per cell]  6 Pt 3.11
Ce 0.0000 0.0000 0.5000 [3 per cell]  6 Pt 2.93
Pt 0.0000 0.0000 0.2425 [6 per cell]  3 Ce 2.93, 3 Ac 3.11

---

[9]
## SbTe3 (PBE)

Data for an optimized crystal structure of SbTe3.

raw formation energy	0.307	eV/atom
E above lowest polymorph	298.0	meV/atom

Cell: 3.2319 3.2319 11.8151 Å, 90.00 90.00 90.00°
Last column: nearest neighbours and their distance in Å.
Space group P4/mmm (No. 123)
Inequivalent atoms, fractional coordinates:
Sb 0.0000 0.0000 0.0000 [1 per cell]  4 Sb 3.23, 8 Te 3.34
Te 0.0000 0.0000 0.5000 [1 per cell]  4 Te 3.23
Te 0.5000 0.5000 0.2067 [2 per cell]  4 Te 3.23, 4 Sb 3.34

---

[10]
## FeCuS2 (PBE)

Data for an optimized crystal structure of FeCuS2.

raw formation energy	-0.254	eV/atom

Cell: 3.4113 3.4113 17.7738 Å, 90.00 90.00 120.00°
Last column: nearest neighbours and their distance in Å.
Space group R3m (No. 160, hexagonal axes)
Inequivalent atoms, fractional coordinates:
Fe 0.0000 0.0000 0.0000 [3 per cell]  6 S 2.27-2.34
Cu 0.0000 0.0000 0.8538 [3 per cell]  4 S 2.19-2.38
S 0.0000 0.0000 0.2619 [3 per cell]  3 Fe 2.34, 3 Cu 2.38
S 0.0000 0.0000 0.7304 [3 per cell]  1 Cu 2.19, 3 Fe 2.27

---

[11]
## Si3Pt2 (PBE)

Data for an optimized crystal structure of Si3Pt2.

raw formation energy	-0.405	eV/atom

Cell: 6.3107 6.3107 15.2552 Å, 90.00 90.00 120.00°
Last column: nearest neighbours and their distance in Å.
Space group R-3c (No. 167, hexagonal axes)
Inequivalent atoms, fractional coordinates:
Si 0.0000 0.3375 0.2500 [18 per cell]  4 Pt 2.39-2.54
Pt 0.0000 0.0000 0.1588 [12 per cell]  6 Si 2.39-2.54

---

[12]
## PmSnTe (PBE)

Data for an optimized crystal structure of PmSnTe.

raw formation energy	-0.479	eV/atom
E above lowest polymorph	519.2	meV/atom

Cell: 13.2801 3.9491 7.5917 Å, 90.00 90.00 90.00°
Last column: nearest neighbours and their distance in Å.
Space group Amm2 (No. 38)
Inequivalent atoms, fractional coordinates:
Pm 0.0000 0.0000 0.0000 [2 per cell]  6 Sn 3.17-3.35
Pm 0.5000 0.0000 0.1467 [2 per cell]  6 Te 3.12-3.15
Sn 0.1675 0.0000 0.2979 [4 per cell]  2 Te 3.12, 3 Pm 3.17-3.35
Te 0.3488 0.0000 0.8315 [4 per cell]  3 Pm 3.12-3.15, 2 Sn 3.12

---

[13]
## Ru2Br8F (PBE)

Data for an optimized crystal structure of Ru2Br8F.

raw formation energy	-0.247	eV/atom

Cell: 15.4101 10.8322 5.1805 Å, 90.00 109.12 90.00°
Last column: nearest neighbours and their distance in Å.
Space group C2/m (No. 12)
Inequivalent atoms, fractional coordinates:
Ru 0.1457 0.0000 0.1701 [4 per cell]  1 F 2.13, 1 Br 2.38
Br 0.1191 0.0000 0.6107 [4 per cell]  1 Ru 2.45
Br 0.1370 0.2222 0.1145 [8 per cell]  1 Ru 2.42
Br 0.1908 0.5000 0.6665 [4 per cell]  1 Ru 2.38
F 0.0000 0.0000 0.0000 [2 per cell]  2 Ru 2.13